(1)
Here is an optimized crystal structure of Li2Y3Ag5 from the Alexandria database. Energies are from PBE-GGA.

a = 3.913 Å, b = 10.300 Å, c = 10.300 Å
α = 90.00°, β = 90.00°, γ = 90.00°
Element x y z (fractional)
Y  0.000  0.680  0.180
Li  0.000  0.616  0.884
Y  0.000  0.500  0.500
Ag  0.500  0.217  0.061
Ag  0.500  0.283  0.561
Y  0.000  0.320  0.820
Ag  0.500  0.561  0.717
Li  0.000  0.116  0.616
Ag  0.500  0.061  0.783
Li  0.000  0.884  0.384
Ag  0.500  0.717  0.439
Ag  0.500  0.783  0.939
Y  0.000  0.820  0.680
Y  0.000  0.180  0.320
Ag  0.500  0.500  0.000
Ag  0.500  0.939  0.217
Y  0.000  0.000  0.000
Ag  0.500  0.439  0.283
Ag  0.500  0.000  0.500
Li  0.000  0.384  0.116

Values from the calculation:
Final energy   -79.8 eV for the cell shown
Symmetry   P4/mbm, No. 127


(2)
Here is an optimized crystal structure of CrPt5 from the Alexandria database. Energies are from PBE-GGA.

a = 5.224 Å, b = 5.224 Å, c = 5.224 Å
α = 60.00°, β = 60.00°, γ = 60.00°
Element x y z (fractional)
Pt  0.125  0.625  0.625
Pt  0.625  0.125  0.625
Pt  0.250  0.250  0.250
Cr  0.000  0.000  0.000
Pt  0.625  0.625  0.625
Pt  0.625  0.625  0.125

Values from the calculation:
Final energy   -38.8 eV for the cell shown
Symmetry   F-43m, No. 216


(3)
Here is an optimized crystal structure of Sm6HfSn10 from the Alexandria database. Energies are from PBE-GGA.

a = 6.279 Å, b = 9.306 Å, c = 9.306 Å
α = 120.00°, β = 90.00°, γ = 90.00°
Element x y z (fractional)
Sn  0.000  0.333  0.667
Sm  0.261  0.000  0.389
Sn  0.798  0.760  0.760
Sn  0.500  0.333  0.667
Sn  0.500  0.667  0.333
Sn  0.202  0.000  0.760
Sn  0.202  0.760  0.000
Sn  0.202  0.240  0.240
Sn  0.798  0.240  0.000
Sm  0.739  0.000  0.611
Sn  0.000  0.667  0.333
Hf  0.500  0.000  0.000
Sm  0.261  0.611  0.611
Sm  0.261  0.389  0.000
Sm  0.739  0.389  0.389
Sn  0.798  0.000  0.240
Sm  0.739  0.611  0.000

Values from the calculation:
Final energy   -87.3 eV for the cell shown
Symmetry   P-31m, No. 162


(4)
Here is an optimized crystal structure of Pm8Ho2Hg from the Alexandria database. Energies are from PBE-GGA.

a = 5.584 Å, b = 7.895 Å, c = 9.367 Å
α = 111.16°, β = 107.34°, γ = 90.00°
Element x y z (fractional)
Pm  0.010  0.756  0.020
Ho  0.190  0.661  0.380
Pm  0.990  0.244  0.980
Pm  0.341  0.088  0.681
Pm  0.385  0.575  0.771
Pm  0.820  0.782  0.640
Hg  0.500  0.000  0.000
Ho  0.810  0.339  0.620
Pm  0.615  0.425  0.229
Pm  0.659  0.912  0.319
Pm  0.180  0.218  0.360

Values from the calculation:
Final energy   -47.3 eV for the cell shown
Symmetry   C2/m, No. 12


(5)
Here is an optimized crystal structure of EuLu2Pd from the Alexandria database. Energies are from PBE-GGA.

a = 3.968 Å, b = 3.968 Å, c = 9.529 Å
α = 77.98°, β = 77.98°, γ = 60.00°
Element x y z (fractional)
Lu  0.722  0.722  0.834
Pd  0.000  0.000  0.000
Lu  0.278  0.278  0.166
Eu  0.500  0.500  0.500

Values from the calculation:
Final energy   -25.8 eV for the cell shown
Symmetry   R-3m, No. 166


(6)
Here is an optimized crystal structure of Rb2CdO2 from the Alexandria database. Energies are from PBE-GGA.

a = 6.964 Å, b = 6.975 Å, c = 9.134 Å
α = 90.00°, β = 98.30°, γ = 90.00°
Element x y z (fractional)
Cd  0.847  0.099  0.373
O  0.243  0.032  0.842
Rb  0.510  0.261  0.036
Rb  0.101  0.381  0.682
Rb  0.399  0.881  0.318
O  0.168  0.151  0.445
Rb  0.601  0.119  0.682
O  0.332  0.651  0.555
Rb  0.990  0.761  0.964
O  0.832  0.849  0.555
Cd  0.347  0.401  0.373
O  0.743  0.468  0.842
Rb  0.899  0.619  0.318
Rb  0.010  0.239  0.036
O  0.668  0.349  0.445
O  0.257  0.532  0.158
Cd  0.153  0.901  0.627
O  0.757  0.968  0.158
Cd  0.653  0.599  0.627
Rb  0.490  0.739  0.964

Values from the calculation:
Final energy   -72.4 eV for the cell shown
Symmetry   P2_1/c, No. 14
Formation energy (no corrections)   -1067 meV/atom


(7)
Here is an optimized crystal structure of ScAl2Co2 from the Alexandria database. Energies are from PBE-GGA.

a = 7.142 Å, b = 7.142 Å, c = 2.727 Å
α = 90.00°, β = 90.00°, γ = 90.00°
Element x y z (fractional)
Sc  0.000  0.000  0.000
Sc  0.500  0.500  0.000
Co  0.169  0.669  0.500
Al  0.372  0.872  0.000
Co  0.669  0.831  0.500
Co  0.331  0.169  0.500
Co  0.831  0.331  0.500
Al  0.628  0.128  0.000
Al  0.128  0.372  0.000
Al  0.872  0.628  0.000

Values from the calculation:
Final energy   -60.2 eV for the cell shown
Symmetry   P4/mbm, No. 127


(8)
Here is an optimized crystal structure of Ho2VP from the Alexandria database. Energies are from PBE-GGA.

a = 3.650 Å, b = 3.650 Å, c = 9.388 Å
α = 78.79°, β = 78.79°, γ = 60.00°
Element x y z (fractional)
V  0.000  0.000  0.000
Ho  0.106  0.106  0.682
Ho  0.894  0.894  0.318
P  0.500  0.500  0.500

Values from the calculation:
Final energy   -23.6 eV for the cell shown
Symmetry   R-3m, No. 166


(9)
Here is an optimized crystal structure of AlTl2Cd from the Alexandria database. Energies are from PBE-GGA.

a = 3.431 Å, b = 3.430 Å, c = 8.848 Å
α = 90.00°, β = 90.00°, γ = 90.00°
Element x y z (fractional)
Tl  0.000  0.000  0.977
Tl  0.500  0.500  0.287
Al  0.000  0.000  0.522
Cd  0.500  0.500  0.714

Values from the calculation:
Final energy   -8.9 eV for the cell shown
Symmetry   P4mm, No. 99


(10)
Here is an optimized crystal structure of Ba2TlGe3Pd4 from the Alexandria database. Energies are from PBE-GGA.

a = 4.642 Å, b = 4.642 Å, c = 10.516 Å
α = 90.00°, β = 90.00°, γ = 90.00°
Element x y z (fractional)
Pd  0.500  0.500  0.000
Ge  0.000  0.500  0.109
Ba  0.000  0.500  0.755
Ge  0.500  0.000  0.891
Tl  0.500  0.500  0.500
Pd  0.000  0.500  0.352
Pd  0.000  0.000  0.000
Pd  0.500  0.000  0.648
Ba  0.500  0.000  0.245
Ge  0.000  0.000  0.500

Values from the calculation:
Final energy   -46.6 eV for the cell shown
Symmetry   P-4m2, No. 115


(11)
Here is an optimized crystal structure of AlReRu2 from the Alexandria database. Energies are from PBE-GGA.

a = 2.933 Å, b = 4.406 Å, c = 4.406 Å
α = 90.00°, β = 90.00°, γ = 90.00°
Element x y z (fractional)
Al  0.500  0.500  0.000
Re  0.500  0.000  0.500
Ru  0.000  0.500  0.500
Ru  0.000  0.000  0.000

Values from the calculation:
Final energy   -35.3 eV for the cell shown
Symmetry   P4/mmm, No. 123


(12)
Here is an optimized crystal structure of AcTbMg6 from the Alexandria database. Energies are from PBE-GGA.

a = 5.198 Å, b = 6.800 Å, c = 6.800 Å
α = 113.35°, β = 90.00°, γ = 90.00°
Element x y z (fractional)
Mg  0.500  0.449  0.139
Mg  0.500  0.861  0.551
Mg  0.000  0.575  0.425
Mg  0.000  0.061  0.364
Mg  0.500  0.914  0.086
Ac  0.000  0.117  0.883
Tb  0.500  0.388  0.612
Mg  0.000  0.636  0.939

Values from the calculation:
Final energy   -18.7 eV for the cell shown
Symmetry   Amm2, No. 38


(13)
Here is an optimized crystal structure of KHf2AsO8 from the Alexandria database. Energies are from PBE-GGA.

a = 4.673 Å, b = 4.673 Å, c = 7.243 Å
α = 89.91°, β = 89.91°, γ = 88.85°
Element x y z (fractional)
O  0.806  0.192  0.185
Hf  0.500  0.500  0.788
O  0.808  0.194  0.815
O  0.194  0.808  0.815
O  0.192  0.806  0.185
O  0.707  0.707  0.000
As  0.000  0.000  0.000
K  0.000  0.000  0.500
O  0.386  0.386  0.500
Hf  0.500  0.500  0.212
O  0.293  0.293  0.000
O  0.614  0.614  0.500

Values from the calculation:
Final energy   -90.7 eV for the cell shown
Symmetry   C2/m, No. 12
Formation energy (no corrections)   -2117 meV/atom


(14)
Here is an optimized crystal structure of CaTaAg from the Alexandria database. Energies are from PBE-GGA.

a = 4.760 Å, b = 4.760 Å, c = 4.760 Å
α = 60.00°, β = 60.00°, γ = 60.00°
Element x y z (fractional)
Ta  0.500  0.500  0.500
Ag  0.750  0.750  0.750
Ca  0.000  0.000  0.000

Values from the calculation:
Final energy   -13.6 eV for the cell shown
Symmetry   F-43m, No. 216


(15)
Here is an optimized crystal structure of Li2ScInRu from the Alexandria database. Energies are from PBE-GGA.

a = 4.549 Å, b = 5.450 Å, c = 4.549 Å
α = 90.00°, β = 90.00°, γ = 90.00°
Element x y z (fractional)
Li  0.500  0.000  0.000
Ru  0.500  0.500  0.500
In  0.000  0.000  0.000
Li  0.000  0.000  0.500
Sc  0.000  0.500  0.000

Values from the calculation:
Final energy   -17.6 eV for the cell shown
Symmetry   P4/mmm, No. 123


(16)
Here is an optimized crystal structure of Sr2InSnPd6 from the Alexandria database. Energies are from PBE-GGA.

a = 7.129 Å, b = 7.129 Å, c = 7.129 Å
α = 60.00°, β = 60.00°, γ = 90.00°
Element x y z (fractional)
Sr  0.750  0.250  0.500
Sn  0.000  0.000  0.000
Pd  0.249  0.751  0.000
In  0.500  0.500  0.000
Pd  0.249  0.249  0.502
Pd  0.751  0.751  0.000
Pd  0.751  0.751  0.498
Pd  0.249  0.249  0.000
Sr  0.250  0.750  0.500
Pd  0.751  0.249  0.000

Values from the calculation:
Final energy   -43.2 eV for the cell shown
Symmetry   Fm-3m, No. 225


(17)
Here is an optimized crystal structure of PmErO from the Alexandria database. Energies are from PBE-GGA.

a = 3.557 Å, b = 3.557 Å, c = 12.086 Å
α = 81.54°, β = 81.54°, γ = 60.00°
Element x y z (fractional)
Er  0.046  0.046  0.862
Pm  0.212  0.212  0.363
Pm  0.788  0.788  0.637
O  0.409  0.409  0.773
O  0.591  0.591  0.227
Er  0.954  0.954  0.138

Values from the calculation:
Final energy   -38.8 eV for the cell shown
Symmetry   R-3m, No. 166
Formation energy (no corrections)   -1717 meV/atom


(18)
Here is an optimized crystal structure of Rb2BaSr from the Alexandria database. Energies are from PBE-GGA.

a = 4.403 Å, b = 4.403 Å, c = 14.687 Å
α = 90.00°, β = 90.00°, γ = 90.00°
Element x y z (fractional)
Ba  0.500  0.500  0.000
Rb  0.000  0.000  0.743
Rb  0.000  0.000  0.257
Sr  0.500  0.500  0.500

Values from the calculation:
Final energy   -4.9 eV for the cell shown
Symmetry   P4/mmm, No. 123


(19)
Here is an optimized crystal structure of SmIrS from the Alexandria database. Energies are from PBE-GGA.

a = 5.566 Å, b = 3.983 Å, c = 8.493 Å
α = 90.00°, β = 90.00°, γ = 134.32°
Element x y z (fractional)
Sm  0.741  0.481  0.750
S  0.237  0.474  0.250
Ir  0.356  0.712  0.500
Sm  0.741  0.481  0.250
S  0.237  0.474  0.750
Ir  0.356  0.711  0.000

Values from the calculation:
Final energy   -40.4 eV for the cell shown
Symmetry   Amm2, No. 38
Formation energy (no corrections)   -836 meV/atom


(20)
Here is an optimized crystal structure of FeSiTc2 from the Alexandria database. Energies are from PBE-GGA.

a = 3.836 Å, b = 2.736 Å, c = 5.368 Å
α = 70.54°, β = 90.00°, γ = 90.00°
Element x y z (fractional)
Si  0.500  0.750  0.750
Tc  0.000  0.932  0.998
Fe  0.500  0.250  0.250
Tc  0.000  0.568  0.502

Values from the calculation:
Final energy   -34.7 eV for the cell shown
Symmetry   P2/m, No. 10
Formation energy (no corrections)   -32 meV/atom


(21)
Here is an optimized crystal structure of Tm2ZnGa3 from the Alexandria database. Energies are from PBE-GGA.

a = 4.353 Å, b = 5.642 Å, c = 5.637 Å
α = 78.25°, β = 67.29°, γ = 67.31°
Element x y z (fractional)
Ga  0.164  0.816  0.855
Ga  0.838  0.648  0.676
Tm  0.514  0.234  0.737
Ga  0.831  0.181  0.157
Zn  0.168  0.356  0.308
Tm  0.485  0.764  0.266

Values from the calculation:
Final energy   -22.7 eV for the cell shown
Symmetry   Cm, No. 8


(22)
Here is an optimized crystal structure of Nb5SiGe2 from the Alexandria database. Energies are from PBE-GGA.

a = 6.682 Å, b = 6.682 Å, c = 7.669 Å
α = 115.83°, β = 115.83°, γ = 90.00°
Element x y z (fractional)
Nb  0.989  0.489  0.306
Ge  0.366  0.866  0.000
Nb  0.500  0.500  0.000
Nb  0.000  0.000  0.000
Nb  0.817  0.989  0.306
Nb  0.489  0.317  0.306
Si  0.750  0.750  0.500
Nb  0.683  0.183  0.694
Nb  0.183  0.011  0.694
Ge  0.134  0.366  0.000
Nb  0.011  0.511  0.694
Nb  0.511  0.683  0.694
Ge  0.866  0.634  0.000
Ge  0.634  0.134  0.000
Nb  0.317  0.817  0.306
Si  0.250  0.250  0.500

Values from the calculation:
Final energy   -138.8 eV for the cell shown
Symmetry   I4/mcm, No. 140
Formation energy (no corrections)   -546 meV/atom


(23)
Here is an optimized crystal structure of Fe2OsAu from the Alexandria database. Energies are from PBE-GGA.

a = 4.596 Å, b = 4.596 Å, c = 4.809 Å
α = 80.87°, β = 80.87°, γ = 34.48°
Element x y z (fractional)
Au  0.750  0.750  0.750
Fe  0.504  0.504  0.479
Os  0.250  0.250  0.250
Fe  0.996  0.996  0.021

Values from the calculation:
Final energy   -29.9 eV for the cell shown
Symmetry   C2/m, No. 12


(24)
Here is an optimized crystal structure of NdDy2Tl2Hg2 from the Alexandria database. Energies are from PBE-GGA.

a = 5.015 Å, b = 5.015 Å, c = 9.410 Å
α = 74.55°, β = 74.55°, γ = 60.00°
Element x y z (fractional)
Hg  0.563  0.563  0.310
Dy  0.867  0.867  0.400
Tl  0.730  0.730  0.811
Hg  0.437  0.437  0.690
Nd  0.000  0.000  0.000
Dy  0.133  0.133  0.600
Tl  0.270  0.270  0.189

Values from the calculation:
Final energy   -20.9 eV for the cell shown
Symmetry   R-3m, No. 166